# 1
Computed, not measured: a geometry-optimized PaBeSb structure at the PBE level of DFT.

a = 6.403 Å, b = 6.403 Å, c = 5.392 Å
α = 101.26°, β = 101.26°, γ = 34.25°
Fractional positions:
Pa (0.130, 0.130, 0.313)
Pa (0.870, 0.870, 0.687)
Be (0.237, 0.237, 0.870)
Be (0.763, 0.763, 0.130)
Sb (0.403, 0.403, 0.215)
Sb (0.597, 0.597, 0.785)

SG: C2/m, No. 12
D(E_F) in states/eV per atom: 1.2963
Total moment in μB per atom: 0.001
Crystal system: monoclinic
Electronic total energy in eV for the cell shown: -35.24



# 2
Computed, not measured: a geometry-optimized Pa2BeSb structure at the PBE level of DFT.

a = 11.514 Å, b = 11.514 Å, c = 11.514 Å
α = 15.65°, β = 15.65°, γ = 15.65°
Fractional positions:
Pa (0.086, 0.086, 0.086)
Pa (0.914, 0.914, 0.914)
Be (0.000, 0.000, 0.000)
Sb (0.500, 0.500, 0.500)

SG: R-3m, No. 166
D(E_F) in states/eV per atom: 2.1266
Total moment in μB per atom: 0.009
Crystal system: trigonal
Electronic total energy in eV for the cell shown: -24.21



# 3
Computed, not measured: a geometry-optimized Sc2PaBe structure at the PBE level of DFT.

a = 3.157 Å, b = 3.157 Å, c = 8.042 Å
α = 90.00°, β = 90.00°, γ = 90.00°
Fractional positions:
Sc (0.000, 0.000, 0.198)
Sc (0.000, 0.000, 0.802)
Pa (0.500, 0.500, 0.500)
Be (0.500, 0.500, 0.000)

SG: P4/mmm, No. 123
Energy of formation in eV/atom: 0.0535
D(E_F) in states/eV per atom: 1.3358
Total moment in μB per atom: 0.000
Crystal system: tetragonal
Electronic total energy in eV for the cell shown: -25.67



# 4
Computed, not measured: a geometry-optimized ScPaBe structure at the PBE level of DFT.

a = 6.645 Å, b = 6.645 Å, c = 6.645 Å
α = 153.57°, β = 153.57°, γ = 37.72°
Fractional positions:
Sc (0.000, 0.000, 0.000)
Pa (0.715, 0.715, 0.000)
Be (0.365, 0.365, 0.000)

SG: I4mm, No. 107
Energy relative to the lowest polymorph listed for this composition in eV per atom: 0.019
Energy of formation in eV/atom: 0.1290
D(E_F) in states/eV per atom: 1.2491
Total moment in μB per atom: 0.000
Crystal system: tetragonal
Electronic total energy in eV for the cell shown: -19.17



# 5
Computed, not measured: a geometry-optimized ScPaBe structure at the PBE level of DFT.

a = 10.286 Å, b = 9.586 Å, c = 5.385 Å
α = 81.60°, β = 67.21°, γ = 31.19°
Fractional positions:
Sc (0.047, 0.703, 0.047)
Sc (0.297, 0.953, 0.297)
Sc (0.703, 0.047, 0.703)
Sc (0.953, 0.297, 0.953)
Pa (0.295, 0.295, 0.455)
Pa (0.455, 0.455, 0.295)
Pa (0.545, 0.545, 0.705)
Pa (0.705, 0.705, 0.545)
Be (0.001, 0.001, 0.249)
Be (0.249, 0.249, 0.001)
Be (0.751, 0.751, 0.999)
Be (0.999, 0.999, 0.751)

SG: Fddd, No. 70
Energy relative to the lowest polymorph listed for this composition in eV per atom: 0.000
Energy of formation in eV/atom: 0.1102
D(E_F) in states/eV per atom: 1.4830
Total moment in μB per atom: 0.000
Crystal system: orthorhombic
Electronic total energy in eV for the cell shown: -76.89



# 6
Computed, not measured: a geometry-optimized ScPaBe4 structure at the PBE level of DFT.

a = 4.878 Å, b = 4.878 Å, c = 4.878 Å
α = 60.00°, β = 60.00°, γ = 60.00°
Fractional positions:
Sc (0.000, 0.000, 0.000)
Pa (0.750, 0.750, 0.750)
Be (0.374, 0.374, 0.374)
Be (0.374, 0.374, 0.878)
Be (0.374, 0.878, 0.374)
Be (0.878, 0.374, 0.374)

SG: F-43m, No. 216
Energy of formation in eV/atom: 0.0840
D(E_F) in states/eV per atom: 0.9091
Total moment in μB per atom: 0.000
Crystal system: cubic
Electronic total energy in eV for the cell shown: -30.23



# 7
Computed, not measured: a geometry-optimized PaBeSe structure at the PBE level of DFT.

a = 3.836 Å, b = 4.027 Å, c = 7.501 Å
α = 79.72°, β = 85.37°, γ = 88.29°
Fractional positions:
Pa (0.000, 0.000, 0.000)
Pa (0.396, 0.732, 0.741)
Be (0.188, 0.998, 0.373)
Be (0.696, 0.727, 0.367)
Se (0.485, 0.437, 0.151)
Se (0.913, 0.286, 0.595)

SG: P1, No. 1
D(E_F) in states/eV per atom: 1.1539
Total moment in μB per atom: 0.138
Crystal system: triclinic
Electronic total energy in eV for the cell shown: -34.92



# 8
Computed, not measured: a geometry-optimized PaBeSe3 structure at the PBE level of DFT.

a = 6.689 Å, b = 7.220 Å, c = 11.478 Å
α = 90.00°, β = 125.59°, γ = 90.00°
Fractional positions:
Pa (0.181, 0.124, 0.243)
Pa (0.181, 0.376, 0.743)
Pa (0.819, 0.624, 0.257)
Pa (0.819, 0.876, 0.757)
Be (0.276, 0.721, 0.123)
Be (0.276, 0.779, 0.623)
Be (0.724, 0.221, 0.377)
Be (0.724, 0.279, 0.877)
Se (0.084, 0.192, 0.937)
Se (0.084, 0.308, 0.437)
Se (0.285, 0.686, 0.936)
Se (0.285, 0.814, 0.436)
Se (0.430, 0.044, 0.761)
Se (0.430, 0.456, 0.261)
Se (0.570, 0.544, 0.739)
Se (0.570, 0.956, 0.239)
Se (0.715, 0.186, 0.564)
Se (0.715, 0.314, 0.064)
Se (0.916, 0.692, 0.563)
Se (0.916, 0.808, 0.063)

SG: P2_1/c, No. 14
D(E_F) in states/eV per atom: 0.8574
Total moment in μB per atom: 0.203
Crystal system: monoclinic
Electronic total energy in eV for the cell shown: -114.47



# 9
Computed, not measured: a geometry-optimized Pa3BeSe6 structure at the PBE level of DFT.

a = 8.794 Å, b = 8.794 Å, c = 6.623 Å
α = 90.00°, β = 90.00°, γ = 100.33°
Fractional positions:
Pa (0.100, 0.900, 0.500)
Pa (0.235, 0.426, 0.395)
Pa (0.426, 0.235, 0.895)
Pa (0.574, 0.765, 0.395)
Pa (0.765, 0.574, 0.895)
Pa (0.900, 0.100, 0.000)
Be (0.293, 0.707, 0.847)
Be (0.707, 0.293, 0.347)
Se (0.070, 0.601, 0.694)
Se (0.124, 0.203, 0.697)
Se (0.203, 0.124, 0.197)
Se (0.276, 0.724, 0.188)
Se (0.399, 0.930, 0.694)
Se (0.453, 0.547, 0.725)
Se (0.547, 0.453, 0.225)
Se (0.601, 0.070, 0.194)
Se (0.724, 0.276, 0.688)
Se (0.797, 0.876, 0.697)
Se (0.876, 0.797, 0.197)
Se (0.930, 0.399, 0.194)

SG: Cmc2_1, No. 36
D(E_F) in states/eV per atom: 1.5607
Total moment in μB per atom: 0.425
Crystal system: orthorhombic
Electronic total energy in eV for the cell shown: -129.14



# 10
Computed, not measured: a geometry-optimized PaBeSe2 structure at the PBE level of DFT.

a = 8.309 Å, b = 8.309 Å, c = 8.309 Å
α = 25.92°, β = 25.92°, γ = 25.92°
Fractional positions:
Pa (0.000, 0.000, 0.000)
Be (0.500, 0.500, 0.500)
Se (0.415, 0.415, 0.415)
Se (0.585, 0.585, 0.585)

SG: R-3m, No. 166
D(E_F) in states/eV per atom: 0.9207
Total moment in μB per atom: 0.075
Crystal system: trigonal
Electronic total energy in eV for the cell shown: -22.27



# 11
Computed, not measured: a geometry-optimized Pa2BeSe structure at the PBE level of DFT.

a = 6.844 Å, b = 6.844 Å, c = 6.844 Å
α = 34.27°, β = 34.27°, γ = 34.27°
Fractional positions:
Pa (0.240, 0.240, 0.240)
Pa (0.760, 0.760, 0.760)
Be (0.500, 0.500, 0.500)
Se (0.000, 0.000, 0.000)

SG: R-3m, No. 166
D(E_F) in states/eV per atom: 1.6016
Total moment in μB per atom: 0.000
Crystal system: trigonal
Electronic total energy in eV for the cell shown: -27.40



# 12
Computed, not measured: a geometry-optimized PaBeTl2Se5 structure at the PBE level of DFT.

a = 9.430 Å, b = 9.430 Å, c = 13.757 Å
α = 90.00°, β = 90.00°, γ = 155.05°
Fractional positions:
Pa (0.200, 0.800, 0.500)
Pa (0.800, 0.200, 0.000)
Be (0.424, 0.576, 0.887)
Be (0.576, 0.424, 0.387)
Tl (0.093, 0.907, 0.132)
Tl (0.106, 0.894, 0.812)
Tl (0.894, 0.106, 0.312)
Tl (0.907, 0.093, 0.632)
Se (0.050, 0.950, 0.474)
Se (0.299, 0.701, 0.135)
Se (0.303, 0.697, 0.858)
Se (0.349, 0.651, 0.486)
Se (0.486, 0.514, 0.750)
Se (0.514, 0.486, 0.250)
Se (0.651, 0.349, 0.986)
Se (0.697, 0.303, 0.358)
Se (0.701, 0.299, 0.635)
Se (0.950, 0.050, 0.974)

SG: Cmc2_1, No. 36
D(E_F) in states/eV per atom: 0.3624
Total moment in μB per atom: 0.000
Crystal system: orthorhombic
Electronic total energy in eV for the cell shown: -84.76